Record 1
The following is a PBEsol calculation of BaAl2 after structural relaxation, from the Alexandria database.

Output
- Mass density: 3.57 g/cm³
- Calculated volume: 29.7 A^3/atom
- Fermi-level density of states: 3.85 states/eV/f.u.
- Space-group type: I4_1/amd (141)
- E_form: -0.12 eV per atom

Lattice parameters (Å, degrees): 4.6749 4.6749 8.7937 105.41 105.41 90.00
Fractional positions:
Ba1 0.2500 0.7500 0.5000
Ba2 0.0000 0.0000 0.0000
Al1 0.8337 0.3337 0.6675
Al2 0.4163 0.4163 0.8325
Al3 0.6663 0.1663 0.3325
Al4 0.5837 0.5837 0.1675



Record 2
The following is a PBEsol calculation of La2MnGaO6 after structural relaxation, from the Alexandria database.

Output
- Mass density: 6.97 g/cm³
- Calculated volume: 11.9 A^3/atom
- Fermi-level density of states: 0.04 states/eV/f.u.
- Space-group type: P2_1/c (14)
- Energy relative to the elements, uncorrected: -2.68 eV per atom

Lattice parameters (Å, degrees): 5.4346 5.4360 8.0357 90.00 91.04 90.00
Each line ends with the local moment (μB).
Fractional positions:
La1 0.4916 0.9692 0.2518  0.02
La2 0.0084 0.4692 0.2482  0.02
La3 0.5084 0.0308 0.7482  0.02
La4 0.9916 0.5308 0.7518  0.02
Mn1 0.5000 0.5000 0.5000  3.52
Mn2 0.0000 0.0000 0.0000  3.52
Ga1 0.5000 0.5000 0.0000  0.04
Ga2 0.0000 0.0000 0.5000  0.04
O1 0.5753 0.5122 0.2362  0.05
O2 0.9247 0.0122 0.2638  0.05
O3 0.4247 0.4878 0.7638  0.05
O4 0.0753 0.9878 0.7362  0.05
O5 0.7888 0.2781 0.9597  0.03
O6 0.7112 0.7781 0.5403  0.03
O7 0.2238 0.7123 0.4575  0.03
O8 0.2762 0.2123 0.0425  0.03
O9 0.2112 0.7219 0.0403  0.03
O10 0.2888 0.2219 0.4597  0.03
O11 0.7762 0.2877 0.5425  0.03
O12 0.7238 0.7877 0.9575  0.03



Record 3
The following is a PBEsol calculation of Zr2Co2Ag after structural relaxation, from the Alexandria database.

Output
- Mass density: 8.64 g/cm³
- Calculated volume: 15.7 A^3/atom
- Fermi-level density of states: 4.74 states/eV/f.u.
- Space-group type: P4/mbm (127)
- E_form: -0.27 eV per atom

Lattice parameters (Å, degrees): 3.1828 7.0203 7.0203 90.00 90.00 90.00
Fractional positions:
Co1 0.0000 0.3681 0.8681
Co2 0.0000 0.8681 0.6319
Co3 0.0000 0.6319 0.1319
Co4 0.0000 0.1319 0.3681
Zr1 0.5000 0.1653 0.6653
Zr2 0.5000 0.6653 0.8347
Zr3 0.5000 0.8347 0.3347
Zr4 0.5000 0.3347 0.1653
Ag1 0.0000 0.0000 0.0000
Ag2 0.0000 0.5000 0.5000